Computed, not measured: a geometry-optimized Zr3Cl structure at the PBE-GGA level of DFT.

Computed properties:
Calculated volume in Å³ per cell: 85
Total energy in eV per atom: -7.284
Distance to the lowest polymorph of the same formula in meV/atom: 0.0

a = 3.265 Å, b = 3.265 Å, c = 9.255 Å
α = 90.00°, β = 90.00°, γ = 120.00°
Element x y z (fractional)
Cl 0.000 0.000 0.000
Zr 0.000 0.000 0.500
Zr 0.667 0.333 0.223
Zr 0.667 0.333 0.777